This record from Alexandria describes a relaxed structure of Zr2TaAl. The functional is PBEsol.

Lattice parameters (Å, degrees): 3.0661 4.9033 5.1887 90.00 93.28 90.00
Last column: nearest neighbours and their distance in Å.
Fractional positions:
1 Al 0.3733 0.0000 0.4515  8 Zr 2.92-3.25, 2 Ta 3.05, 2 Al 3.07
2 Zr 0.9213 0.0000 0.9333  4 Al 2.93-3.25, 4 Ta 2.93-3.02, 4 Zr 3.07-3.18
3 Zr 0.8257 0.5000 0.3155  4 Al 2.92-3.03, 4 Ta 2.93-3.25, 4 Zr 3.07-3.18
4 Ta 0.3797 0.5000 0.7998  8 Zr 2.93-3.25, 2 Al 3.05, 2 Ta 3.07

Summary:
**Energy of formation from the pure elements**: -122.0 meV/atom
**Crystal system**: monoclinic
**VASP energy**: -35.3 eV per formula unit